Density functional theory data (GGA-PBE) for Pr3SmCo2 after structural relaxation.

Results
space group: No. 12
formation energy: -0.047 eV/atom

a = 3.818 Å, b = 8.797 Å, c = 10.281 Å
α = 79.08°, β = 79.30°, γ = 77.47°
Positions (direct):
Sm  0.838  0.568  0.755
Sm  0.162  0.432  0.245
Co  0.235  0.077  0.453
Co  0.765  0.923  0.547
Co  0.766  0.422  0.046
Co  0.234  0.578  0.954
Pr  0.584  0.279  0.553
Pr  0.841  0.066  0.251
Pr  0.416  0.227  0.942
Pr  0.159  0.934  0.749
Pr  0.416  0.721  0.447
Pr  0.584  0.773  0.058